1.
The following is a DFT calculation (GGA-PBE) of a geometry-optimized Tb2PrEr6Tm structure.

Summary:
Energy of formation, eV per atom: 0.120

Cell lengths 9.0239, 14.9621, 9.4782 Å; angles 90.00, 97.02, 90.00 degrees
Closest atoms and distances in Å follow each position.
Space group C2/c (No. 15)
Unique sites:
Tb (0.2481, 0.0530, 0.4534)  6 Er 3.24-3.56, 2 Pr 3.36-3.42, 1 Tm 3.50
Pr (0.0000, 0.4755, 0.2500)  4 Tb 3.36-3.42, 4 Er 3.56-3.68
Er (0.0631, 0.3112, 0.9421)  7 Er 3.38-3.68, 1 Tb 3.51, 1 Pr 3.68, 1 Tm 3.78
Er (0.0999, 0.1086, 0.1176)  4 Er 3.19-3.45, 3 Tb 3.24-3.40, 2 Tm 3.40-3.50
Er (0.2079, 0.2744, 0.3162)  3 Er 3.19-3.55, 2 Tb 3.37-3.56, 1 Tm 3.44, 1 Pr 3.56
Tm (0.0000, 0.0904, 0.7500)  8 Er 3.40-3.78, 2 Tb 3.50

***

2.
The following is a DFT calculation (GGA-PBE) of a geometry-optimized Ca3Si2GePd9 structure.

Summary:
Raw formation energy, eV/atom: -0.59

Cell lengths 6.3969, 6.3969, 8.5992 Å; angles 90.00, 90.00, 120.00 degrees
Closest atoms and distances in Å follow each position.
Space group P-3m1 (No. 164)
Unique sites:
Ca (0.0000, 0.0000, 0.0000)  12 Pd 2.92-3.20
Ca (0.3333, 0.6667, 0.6787)  9 Pd 3.22-3.32
Si (0.3333, 0.6667, 0.1741)  6 Pd 2.27-2.38
Ge (0.0000, 0.0000, 0.5000)  6 Pd 2.47
Pd (0.0000, 0.5000, 0.0000)  2 Si 2.38
Pd (0.1461, 0.2921, 0.2825)  1 Si 2.27, 1 Ge 2.47

***

3.
The following is a DFT calculation (GGA-PBE) of a geometry-optimized Al2CrPb structure.

Summary:
Energy of formation, eV per atom: 0.372

Cell lengths 4.1730, 4.1730, 8.7375 Å; angles 90.00, 90.00, 90.00 degrees
Closest atoms and distances in Å follow each position.
Space group I-4m2 (No. 119)
Unique sites:
Al (0.0000, 0.0000, 0.0000)  4 Pb 2.95, 4 Cr 3.02, 4 Al 3.02
Al (0.0000, 0.5000, 0.2500)  4 Cr 2.95, 4 Al 3.02, 4 Pb 3.02
Cr (0.0000, 0.5000, 0.7500)  8 Al 2.95-3.02, 4 Pb 3.02
Pb (0.0000, 0.0000, 0.5000)  8 Al 2.95-3.02, 4 Cr 3.02

***

4.
The following is a DFT calculation (GGA-PBE) of a geometry-optimized HoMgSn4 structure.

Summary:
Energy of formation, eV per atom: -0.227

Cell lengths 4.0847, 4.0847, 9.3269 Å; angles 90.00, 90.00, 90.00 degrees
Closest atoms and distances in Å follow each position.
Space group P4/mmm (No. 123)
Unique sites:
Ho (0.0000, 0.0000, 0.0000)  10 Sn 3.15-3.30
Mg (0.5000, 0.5000, 0.5000)  10 Sn 3.06-3.26
Sn (0.0000, 0.0000, 0.3375)  5 Sn 3.03-3.28, 1 Ho 3.15, 4 Mg 3.26
Sn (0.5000, 0.5000, 0.1717)  1 Mg 3.06, 5 Sn 3.20-3.28, 4 Ho 3.30

***

5.
The following is a DFT calculation (GGA-PBE) of a geometry-optimized LiCaSe2 structure.

Summary:
Raw formation energy, eV/atom: -1.14

Cell lengths 4.4988, 5.5224, 7.2324 Å; angles 90.00, 90.00, 90.00 degrees
Closest atoms and distances in Å follow each position.
Space group Cmmm (No. 65)
Unique sites:
Li (0.0000, 0.0000, 0.0000)  4 Se 2.86
Ca (0.0000, 0.0000, 0.5000)  4 Se 2.92
Se (0.0000, 0.5000, 0.2432)  2 Li 2.86, 2 Ca 2.92

***

6.
The following is a DFT calculation (GGA-PBE) of a geometry-optimized MgMnPb2 structure.

Summary:
Energy of formation, eV per atom: 0.254

Cell lengths 3.4258, 3.4258, 28.3918 Å; angles 90.00, 90.00, 120.00 degrees
Closest atoms and distances in Å follow each position.
Space group R-3m (No. 166, hexagonal axes)
Unique sites:
Mg (0.0000, 0.0000, 0.0000)  6 Pb 3.23, 6 Mg 3.43
Mn (0.0000, 0.0000, 0.5000)  6 Pb 2.94
Pb (0.0000, 0.0000, 0.2432)  3 Mn 2.94, 3 Mg 3.23

***

Please write out number 4 again, unchanged.
The following is a DFT calculation (GGA-PBE) of a geometry-optimized HoMgSn4 structure.

Summary:
Energy of formation, eV per atom: -0.227

Cell lengths 4.0847, 4.0847, 9.3269 Å; angles 90.00, 90.00, 90.00 degrees
Closest atoms and distances in Å follow each position.
Space group P4/mmm (No. 123)
Unique sites:
Ho (0.0000, 0.0000, 0.0000)  10 Sn 3.15-3.30
Mg (0.5000, 0.5000, 0.5000)  10 Sn 3.06-3.26
Sn (0.0000, 0.0000, 0.3375)  5 Sn 3.03-3.28, 1 Ho 3.15, 4 Mg 3.26
Sn (0.5000, 0.5000, 0.1717)  1 Mg 3.06, 5 Sn 3.20-3.28, 4 Ho 3.30